DFT (PBE) results for a geometry-optimized LaBPPt6 structure.

```
LaBPPt6
1.0
-5.4019 -2.1992 -4.8183
-3.3135 -4.4014 5.7238
1.2368 7.6300 1.0699
La B P Pt
2 2 2 12
direct
0.8450 0.5950 0.6900 La
0.1550 0.4050 0.3100 La
0.5000 0.5000 0.0000 B
0.5000 0.0000 0.0000 B
0.5000 0.0000 0.5000 P
0.0000 0.0000 0.5000 P
0.4285 0.6785 0.8570 Pt
0.8675 0.1175 0.7349 Pt
0.8356 0.0965 0.2459 Pt
0.4103 0.6494 0.2459 Pt
0.4103 0.0965 0.2459 Pt
0.8356 0.6494 0.2459 Pt
0.5715 0.3215 0.1430 Pt
0.1325 0.8825 0.2651 Pt
0.1644 0.9035 0.7541 Pt
0.5897 0.3506 0.7541 Pt
0.5897 0.9035 0.7541 Pt
0.1644 0.3506 0.7541 Pt
```

The symmetry is Imma, No. 74. The total magnetic moment is 0.0 μB/f.u. The calculation puts the formation energy from the elements at -0.58 eV/atom.

---

DFT (PBE) results for a geometry-optimized La2SiBP structure.

```
La2SiBP
1.0
-0.4086 -3.1538 -4.6708
-1.5397 -2.7241 1.9740
-5.1218 2.1618 -1.0116
P Si B La
1 1 1 2
direct
0.5000 0.5000 0.5000 P
0.0000 0.0000 0.0000 Si
0.0000 0.5000 0.0000 B
0.0000 0.0000 0.5000 La
0.5000 0.0000 0.0000 La
```

The symmetry is P4/mmm, No. 123. The total magnetic moment is 0.0 μB/f.u. The total DFT energy (no corrections) is -5.6264 eV per atom.

---

DFT (PBE) results for a geometry-optimized LaPa2B structure.

```
LaPa2B
1.0
3.4516 0.0000 0.0000
1.7258 2.9891 0.0000
1.7258 0.9964 9.3637
B Pa La
1 2 1
direct
0.5000 0.5000 0.5000 B
0.1136 0.1136 0.6591 Pa
0.8864 0.8864 0.3409 Pa
0.0000 0.0000 0.0000 La
```

The symmetry is R-3m, No. 166. The total magnetic moment is 0.0 μB/f.u. The calculation puts the formation energy from the elements at 0.13 eV/atom.

---

DFT (PBE) results for a geometry-optimized LaB12Pb structure.

```
LaB12Pb
1.0
5.1301 0.0000 2.9618
1.7100 4.8367 2.9618
0.0000 0.0000 5.9237
La B Pb
1 12 1
direct
0.5000 0.5000 0.5000 La
0.8994 0.8994 0.6006 B
0.3994 0.3994 0.1006 B
0.6006 0.8994 0.6006 B
0.1006 0.3994 0.1006 B
0.8994 0.6006 0.6006 B
0.3994 0.1006 0.1006 B
0.8994 0.6006 0.8994 B
0.3994 0.1006 0.3994 B
0.6006 0.8994 0.8994 B
0.1006 0.3994 0.3994 B
0.6006 0.6006 0.8994 B
0.1006 0.1006 0.3994 B
0.0000 0.0000 0.0000 Pb
```

The symmetry is Fm-3m, No. 225. The total magnetic moment is 0.0 μB/f.u. The calculation puts the formation energy from the elements at -0.21 eV/atom.

---

DFT (PBE) results for a geometry-optimized LaBPb2 structure.

```
LaBPb2
1.0
-0.6587 -2.9712 7.4637
4.4777 -6.3534 -2.1340
4.5149 -3.1107 3.5125
Pb B La
4 2 2
direct
0.5411 0.1250 0.2500 Pb
0.2089 0.6250 0.2500 Pb
0.3750 0.4589 0.7500 Pb
0.8750 0.7911 0.7500 Pb
0.5000 0.5000 0.0000 B
0.2500 0.7500 0.5000 B
0.0000 0.0000 0.0000 La
0.7500 0.2500 0.5000 La
```

The symmetry is I-42d, No. 122. The total magnetic moment is 0.0 μB/f.u. The calculation puts the formation energy from the elements at 0.24 eV/atom.

---

DFT (PBE) results for a geometry-optimized LaBPb3 structure.

```
LaBPb3
1.0
5.1597 0.0000 0.0000
0.0000 5.1597 0.0000
0.0000 0.0000 5.1597
Pb B La
3 1 1
direct
0.0000 0.5000 0.0000 Pb
0.0000 0.0000 0.5000 Pb
0.5000 0.0000 0.0000 Pb
0.0000 0.0000 0.0000 B
0.5000 0.5000 0.5000 La
```

The symmetry is Pm-3m, No. 221. The total magnetic moment is 0.0 μB/f.u. The calculation puts the formation energy from the elements at 0.35 eV/atom. As for the offset from the most stable computed form: 0.000 eV per atom.

---

DFT (PBE) results for a geometry-optimized LaB2Pb structure.

```
LaB2Pb
1.0
-0.2175 -1.8267 -4.4670
4.8204 -0.2992 -0.1124
1.9403 -7.9439 0.5417
Pb B La
2 4 2
direct
0.0000 0.0000 0.0000 Pb
0.7500 0.2500 0.5000 Pb
0.7350 0.1250 0.2500 B
0.0150 0.6250 0.2500 B
0.3750 0.2650 0.7500 B
0.8750 0.9850 0.7500 B
0.5000 0.5000 0.0000 La
0.2500 0.7500 0.5000 La
```

The symmetry is I-42d, No. 122. The total magnetic moment is 0.0 μB/f.u. The calculation puts the formation energy from the elements at 0.87 eV/atom.

---

DFT (PBE) results for a geometry-optimized LaBPb3 structure.

```
LaBPb3
1.0
6.1450 0.0000 0.0000
0.0000 6.1450 0.0000
0.0000 0.0000 6.1450
Pb B La
3 1 1
direct
0.0000 0.5000 0.0000 Pb
0.0000 0.0000 0.5000 Pb
0.5000 0.0000 0.0000 Pb
0.5000 0.5000 0.5000 B
0.0000 0.0000 0.0000 La
```

The symmetry is Pm-3m, No. 221. The total magnetic moment is 0.0 μB/f.u. The calculation puts the formation energy from the elements at 1.56 eV/atom. As for the offset from the most stable computed form: 1.208 eV per atom.

---

DFT (PBE) results for a geometry-optimized La2BPd6Pb structure.

```
La2BPd6Pb
1.0
5.9318 0.0000 0.0000
0.0000 7.6978 0.0000
0.0000 0.0000 8.8441
La B Pd Pb
4 2 12 2
direct
0.5000 0.7290 0.2737 La
0.0000 0.2710 0.7737 La
0.5000 0.7290 0.7263 La
0.0000 0.2710 0.2263 La
0.5000 0.1668 0.5000 B
0.0000 0.8332 0.0000 B
0.5000 0.1406 0.2621 Pd
0.5000 0.1406 0.7379 Pd
0.0000 0.8594 0.2379 Pd
0.0000 0.8594 0.7621 Pd
0.2363 0.9867 0.5000 Pd
0.7637 0.9867 0.5000 Pd
0.2654 0.3714 0.5000 Pd
0.7346 0.3714 0.5000 Pd
0.7654 0.6286 0.0000 Pd
0.2346 0.6286 0.0000 Pd
0.2637 0.0133 0.0000 Pd
0.7363 0.0133 0.0000 Pd
0.0000 0.6599 0.5000 Pb
0.5000 0.3401 0.0000 Pb
```

The symmetry is Pmmn, No. 59. The total magnetic moment is 0.0 μB/f.u. The calculation puts the formation energy from the elements at -0.64 eV/atom.

---

DFT (PBE) results for a geometry-optimized LaReB2Pb structure.

```
LaReB2Pb
1.0
4.6029 0.0000 0.0000
0.0000 4.6029 0.0000
0.0000 0.0000 5.2715
Pb Re B La
1 1 2 1
direct
0.0000 0.0000 0.0000 Pb
0.0000 0.0000 0.5000 Re
0.0000 0.5000 0.0000 B
0.5000 0.0000 0.0000 B
0.5000 0.5000 0.5000 La
```

The symmetry is P4/mmm, No. 123. The total magnetic moment is 0.0 μB/f.u. The calculation puts the formation energy from the elements at 1.96 eV/atom.

---

DFT (PBE) results for a geometry-optimized La2BRuPb structure.

```
La2BRuPb
1.0
5.4963 0.0000 0.0000
0.0000 5.4963 0.0000
0.0000 0.0000 4.0889
Pb Ru B La
1 1 1 2
direct
0.5000 0.5000 0.5000 Pb
0.0000 0.0000 0.5000 Ru
0.0000 0.0000 0.0000 B
0.0000 0.5000 0.0000 La
0.5000 0.0000 0.0000 La
```

The symmetry is P4/mmm, No. 123. The total magnetic moment is 0.0 μB/f.u. The calculation puts the formation energy from the elements at -0.26 eV/atom.

---

DFT (PBE) results for a geometry-optimized La2TlBPb structure.

```
La2TlBPb
1.0
5.4744 0.0000 0.0000
0.0000 4.5872 0.0000
0.0000 0.0000 5.4744
Pb Tl B La
1 1 1 2
direct
0.5000 0.5000 0.5000 Pb
0.0000 0.5000 0.0000 Tl
0.0000 0.0000 0.0000 B
0.0000 0.0000 0.5000 La
0.5000 0.0000 0.0000 La
```

The symmetry is P4/mmm, No. 123. The total magnetic moment is 0.0 μB/f.u. The calculation puts the formation energy from the elements at -0.15 eV/atom.

---

Repeat the eighth record exactly.
DFT (PBE) results for a geometry-optimized LaBPb3 structure.

```
LaBPb3
1.0
6.1450 0.0000 0.0000
0.0000 6.1450 0.0000
0.0000 0.0000 6.1450
Pb B La
3 1 1
direct
0.0000 0.5000 0.0000 Pb
0.0000 0.0000 0.5000 Pb
0.5000 0.0000 0.0000 Pb
0.5000 0.5000 0.5000 B
0.0000 0.0000 0.0000 La
```

The symmetry is Pm-3m, No. 221. The total magnetic moment is 0.0 μB/f.u. The calculation puts the formation energy from the elements at 1.56 eV/atom. As for the offset from the most stable computed form: 1.208 eV per atom.

---

What did the eleventh record say?
DFT (PBE) results for a geometry-optimized La2BRuPb structure.

```
La2BRuPb
1.0
5.4963 0.0000 0.0000
0.0000 5.4963 0.0000
0.0000 0.0000 4.0889
Pb Ru B La
1 1 1 2
direct
0.5000 0.5000 0.5000 Pb
0.0000 0.0000 0.5000 Ru
0.0000 0.0000 0.0000 B
0.0000 0.5000 0.0000 La
0.5000 0.0000 0.0000 La
```

The symmetry is P4/mmm, No. 123. The total magnetic moment is 0.0 μB/f.u. The calculation puts the formation energy from the elements at -0.26 eV/atom.